Record 1
A plane-wave DFT calculation with PBE was carried out for P2PbSe2 after structural relaxation.

Summary:
Formation energy from raw total energies = 0.12 eV/atom
E above lowest polymorph = 0.00 eV per formula unit

a b c (Å): 8.655 8.655 3.388
angles (deg): 90.00 90.00 90.00
Element x y z (fractional)
P 0.229 0.271 0.000
P 0.271 0.771 0.000
P 0.729 0.229 0.000
P 0.771 0.729 0.000
Pb 0.000 0.000 0.000
Pb 0.500 0.500 0.000
Se 0.141 0.641 0.500
Se 0.359 0.141 0.500
Se 0.641 0.859 0.500
Se 0.859 0.359 0.500



Record 2
A plane-wave DFT calculation with PBE was carried out for P5Pb3Se12 after structural relaxation.

Summary:
Formation energy from raw total energies = -0.05 eV/atom

a b c (Å): 13.982 13.982 13.982
angles (deg): 109.47 109.47 109.47
Element x y z (fractional)
P 0.000 0.000 0.000
P 0.000 0.000 0.500
P 0.000 0.500 0.000
P 0.000 0.500 0.500
P 0.125 0.750 0.875
P 0.125 0.875 0.250
P 0.250 0.125 0.875
P 0.250 0.625 0.375
P 0.375 0.250 0.625
P 0.375 0.625 0.750
P 0.500 0.000 0.000
P 0.500 0.000 0.500
P 0.500 0.500 0.000
P 0.500 0.500 0.500
P 0.625 0.375 0.250
P 0.625 0.750 0.375
P 0.750 0.375 0.625
P 0.750 0.875 0.125
P 0.875 0.125 0.750
P 0.875 0.250 0.125
Pb 0.125 0.250 0.375
Pb 0.125 0.375 0.750
Pb 0.250 0.375 0.125
Pb 0.250 0.875 0.625
Pb 0.375 0.125 0.250
Pb 0.375 0.750 0.125
Pb 0.625 0.250 0.875
Pb 0.625 0.875 0.750
Pb 0.750 0.125 0.375
Pb 0.750 0.625 0.875
Pb 0.875 0.625 0.250
Pb 0.875 0.750 0.625
Se 0.018 0.200 0.114
Se 0.018 0.318 0.903
Se 0.086 0.700 0.682
Se 0.086 0.886 0.403
Se 0.097 0.614 0.414
Se 0.097 0.982 0.682
Se 0.114 0.018 0.200
Se 0.114 0.597 0.914
Se 0.182 0.200 0.586
Se 0.182 0.482 0.597
Se 0.200 0.114 0.018
Se 0.200 0.586 0.182
Se 0.300 0.318 0.914
Se 0.300 0.482 0.386
Se 0.318 0.903 0.018
Se 0.318 0.914 0.300
Se 0.386 0.300 0.482
Se 0.386 0.586 0.903
Se 0.403 0.086 0.886
Se 0.403 0.818 0.518
Se 0.414 0.097 0.614
Se 0.414 0.818 0.800
Se 0.482 0.386 0.300
Se 0.482 0.597 0.182
Se 0.518 0.403 0.818
Se 0.518 0.614 0.700
Se 0.586 0.182 0.200
Se 0.586 0.903 0.386
Se 0.597 0.182 0.482
Se 0.597 0.914 0.114
Se 0.614 0.414 0.097
Se 0.614 0.700 0.518
Se 0.682 0.086 0.700
Se 0.682 0.097 0.982
Se 0.700 0.518 0.614
Se 0.700 0.682 0.086
Se 0.800 0.414 0.818
Se 0.800 0.886 0.982
Se 0.818 0.518 0.403
Se 0.818 0.800 0.414
Se 0.886 0.403 0.086
Se 0.886 0.982 0.800
Se 0.903 0.018 0.318
Se 0.903 0.386 0.586
Se 0.914 0.114 0.597
Se 0.914 0.300 0.318
Se 0.982 0.682 0.097
Se 0.982 0.800 0.886